Computed, not measured: an optimized crystal structure of TaAgBr2 at the GGA-PBE level of DFT.

extended XYZ file:
```
4
Lattice="3.290 0.000 0.000 0.000 5.045 0.000 0.000 0.000 5.045" Properties=species:S:1:pos:R:3 pbc="T T T"
Ta 1.645 2.522 0.000
Ag 1.645 0.000 2.522
Br 0.000 0.000 0.000
Br 0.000 2.522 2.522
```

**Volume**: 20.931 Å³/atom
**Uncorrected formation energy**: 655 meV per atom
**Magnetization**: 0.48 μB per atom
**Fermi-level density of states**: 3.4 states/eV per cell
**ρ**: 8.9 g/cm3
**Polymorph energy (0 for the lowest one)**: 0.7389 eV per atom